# 1
Compound: LiZnTe2
Source: Alexandria via LeMat-Bulk
Functional: meta-GGA SCAN
Structure: PBEsol geometry

Calculated values
Space-group type ... Immm (71)
Energy relative to the elements, uncorrected ... -0.248 eV per atom

Lattice parameters (Å, degrees): 5.4473 5.4473 5.4473 137.26 115.90 80.14
Closest atoms and distances in Å follow each position.
Atoms (fractional coordinates):
Li  0.0000  0.0000  0.0000  8 Te 3.07-3.42
Zn  0.5000  0.5000  0.0000  4 Te 2.70
Te  0.2802  0.7802  0.5000  2 Zn 2.70
Te  0.7198  0.2198  0.5000  2 Zn 2.70

# 2
Compound: KSr2Ca
Source: Alexandria via LeMat-Bulk
Functional: meta-GGA SCAN
Structure: PBEsol geometry

Calculated values
Space-group type ... P4mm (99)
DFT formation energy ... 33.3 kJ/mol of formula units
Distance to the lowest polymorph of the same formula ... 16.6 meV/atom

Lattice parameters (Å, degrees): 4.0692 4.0692 12.5715 90.00 90.00 90.00
Closest atoms and distances in Å follow each position.
Atoms (fractional coordinates):
K  0.0000  0.0000  0.0000  4 K 4.07, 4 Ca 4.31, 4 Sr 4.51
Sr  0.0000  0.0000  0.5202  4 Ca 4.03, 8 Sr 4.07-4.20
Sr  0.5000  0.5000  0.2766  8 Sr 4.07-4.20, 4 K 4.51
Ca  0.5000  0.5000  0.7444  4 Sr 4.03, 4 Ca 4.07, 4 K 4.31

# 3
Compound: LiLaSbH2
Source: Alexandria via LeMat-Bulk
Functional: meta-GGA SCAN
Structure: PBEsol geometry

Calculated values
Space-group type ... P4/mmm (123)
Uncorrected energy ... -18.011 eV per atom

Lattice parameters (Å, degrees): 4.1734 4.1734 6.2225 90.00 90.00 90.00
Closest atoms and distances in Å follow each position.
Atoms (fractional coordinates):
Li  0.0000  0.0000  0.0000  4 Sb 2.95, 2 La 3.11
La  0.0000  0.0000  0.5000  4 H 2.09
Sb  0.5000  0.5000  0.0000  4 Li 2.95
H  0.0000  0.5000  0.5000  2 La 2.09
H  0.5000  0.0000  0.5000  2 La 2.09